P.
Density functional theory data (PBE) for an optimized crystal structure of PmTcSb2. Values from VASP.

Summary:
* Fermi-level density of states: 4.0 states/eV/cell
* size of the total moment: 0.299 μB/atom

Structure (Quantum ESPRESSO input):
```
&SYSTEM
  ibrav = 0, nat = 4, ntyp = 3
/
ATOMIC_SPECIES
Pm 145.00 Pm.upf
Tc 98.00 Tc.upf
Sb 121.76 Sb.upf
ATOMIC_POSITIONS angstrom
Pm 0.000 0.000 0.000
Tc 2.491 2.491 0.000
Sb 0.000 2.491 1.857
Sb 2.491 0.000 1.857
CELL_PARAMETERS angstrom
4.981 0.000 0.000
0.000 4.981 0.000
0.000 0.000 3.714
```

Q.
Density functional theory data (PBE) for an optimized crystal structure of PmTcSb2. Values from VASP.

Summary:
* Fermi-level density of states: 1.5 states/eV/cell
* size of the total moment: 0.000 μB/atom

Structure (Quantum ESPRESSO input):
```
&SYSTEM
  ibrav = 0, nat = 4, ntyp = 3
/
ATOMIC_SPECIES
Pm 145.00 Pm.upf
Tc 98.00 Tc.upf
Sb 121.76 Sb.upf
ATOMIC_POSITIONS angstrom
Pm 0.000 0.000 0.000
Tc 3.553 3.553 3.553
Sb 1.776 1.776 1.776
Sb 5.329 5.329 5.329
CELL_PARAMETERS angstrom
0.000 3.553 3.553
3.553 0.000 3.553
3.553 3.553 0.000
```

Winner for stability: Q

P.
Density functional theory data (PBE) for an optimized crystal structure of PmTcSb. Values from VASP.

Summary:
* Fermi-level density of states: 3.0 states/eV/cell
* size of the total moment: 0.000 μB/atom

Structure (Quantum ESPRESSO input):
```
&SYSTEM
  ibrav = 0, nat = 3, ntyp = 3
/
ATOMIC_SPECIES
Pm 145.00 Pm.upf
Tc 98.00 Tc.upf
Sb 121.76 Sb.upf
ATOMIC_POSITIONS angstrom
Pm 0.000 0.000 0.000
Tc 0.000 0.000 3.707
Sb 0.000 0.000 8.136
CELL_PARAMETERS angstrom
-1.719 1.719 5.712
1.719 -1.719 5.712
1.719 1.719 -5.712
```

Q.
Density functional theory data (PBE) for an optimized crystal structure of PmTcSb. Values from VASP.

Summary:
* Fermi-level density of states: 4.8 states/eV/cell
* size of the total moment: 0.000 μB/atom

Structure (Quantum ESPRESSO input):
```
&SYSTEM
  ibrav = 0, nat = 6, ntyp = 3
/
ATOMIC_SPECIES
Pm 145.00 Pm.upf
Tc 98.00 Tc.upf
Sb 121.76 Sb.upf
ATOMIC_POSITIONS angstrom
Pm 0.449 1.035 2.725
Pm 3.354 3.104 3.734
Tc -1.121 1.035 6.229
Tc 4.924 3.104 0.230
Sb 0.619 3.104 5.267
Sb 3.184 1.035 1.192
CELL_PARAMETERS angstrom
5.533 0.000 0.000
0.000 4.139 0.000
-1.730 0.000 6.460
```

Winner for stability: P